HfH2Br6: optimized geometry, PBE.

Results
Calculated total energy in eV for the cell shown: -69.3
Total moment in μB per atom: 0.00
Space group: C2/c, No. 15

```
18
Lattice="6.8396 7.5888 0.1815 -6.8396 7.5888 0.1815 0.0000 0.7872 6.4764" Properties=species:S:1:pos:R:3 pbc="T T T"
Hf 5.5625 7.7856 1.8006
H -0.2983 9.7398 1.6770
Br -3.9400 6.4659 4.2821
Br -1.1673 5.6690 0.7718
Br 1.1673 6.0626 4.0100
Br 1.1673 10.2957 6.0676
Br -3.9400 9.8924 5.7955
Br -1.1673 9.9022 2.8294
H -0.2983 5.8314 1.9243
Br -0.8360 2.2025 5.7967
Br 0.8360 1.8090 2.5585
Br 0.8360 13.7622 1.0427
H 0.2983 6.2250 5.1625
Br 3.9400 9.4989 2.5573
Br -0.8360 14.1558 4.2809
H 0.2983 10.1333 4.9152
Hf -5.5625 8.1792 5.0388
Br 3.9400 6.0723 1.0439
```